Entry from Alexandria via LeMat-Bulk: a relaxed structure of MgBi2O4 (PBE-GGA).

It has space group Cmcm (No. 63), with a = 3.289 Å, b = 11.295 Å, c = 11.168 Å, α = 90.00°, β = 90.00° and γ = 90.00°. Symmetry generates all atoms from Mg at (0.000, 0.110, 0.250), Bi at (0.000, 0.368, 0.080), O at (0.000, 0.000, 0.000), O at (0.000, 0.282, 0.623) and O at (0.000, 0.493, 0.250).

Its total energy is -5.54 eV per atom. The uncorrected formation energy comes out at -1375 meV/atom. As for the crystal system: orthorhombic.